Entry 1:
5
Lattice="4.113 0.000 0.000 0.000 5.472 0.000 0.000 0.000 4.113" Properties=species:S:1:pos:R:3 comment="Li2YCS, relaxed, DFT GGA-PBE" spacegroup="P4/mmm, No. 123" final_energy_ev_per_atom=-4.744 pbc="T T T"
Li 2.057 0.000 0.000
Li 0.000 0.000 2.057
S 0.000 0.000 0.000
Y 0.000 2.736 0.000
C 2.057 2.736 2.057

***

Entry 2:
4
Lattice="4.870 0.000 0.000 2.435 4.217 0.000 2.435 1.406 3.976" Properties=species:S:1:pos:R:3 comment="PmCuSbPt, relaxed, DFT GGA-PBE" spacegroup="F-43m, No. 216" final_energy_ev_per_atom=-5.339 pbc="T T T"
Sb 2.435 1.406 0.994
Pm 7.304 4.217 2.982
Pt 4.870 2.811 1.988
Cu 0.000 0.000 0.000

***

Entry 3:
7
Lattice="5.050 0.000 0.000 -2.525 4.365 -0.294 0.000 -2.412 7.588" Properties=species:S:1:pos:R:3 comment="Tm3Sc2Zn2, relaxed, DFT GGA-PBE" spacegroup="R-3m, No. 166" polymorph_energy_ev_per_atom=0.0000 e_form_ev_per_atom=-0.11 final_energy_ev_per_atom=-4.201 pbc="T T T"
Sc 2.525 3.041 1.763
Sc 0.000 -1.089 5.531
Zn 0.000 1.522 0.917
Zn 2.525 0.430 6.377
Tm 2.525 0.232 3.461
Tm 2.525 0.000 0.000
Tm 0.000 1.720 3.833

***

Entry 4:
10
Lattice="4.293 0.000 0.000 0.000 4.293 0.000 0.000 0.000 10.370" Properties=species:S:1:pos:R:3 comment="Tb2Ge4Pd3Au, relaxed, DFT GGA-PBE" spacegroup="P-4m2, No. 115" e_form_ev_per_atom=-0.71 final_energy_ev_per_atom=-5.371 pbc="T T T"
Ge 0.000 2.146 3.736
Ge 2.146 0.000 6.635
Ge 0.000 0.000 0.000
Ge 2.146 2.146 0.000
Au 2.146 2.146 5.185
Pd 0.000 0.000 5.185
Pd 0.000 2.146 1.323
Pd 2.146 0.000 9.048
Tb 2.146 0.000 2.605
Tb 0.000 2.146 7.765

***

Entry 5:
4
Lattice="-2.478 -7.969 7.261 -3.946 -9.149 4.807 -0.932 -9.708 5.222" Properties=species:S:1:pos:R:3 comment="Tl2ReHg, relaxed, DFT GGA-PBE" spacegroup="R3m, No. 160" polymorph_energy_ev_per_atom=0.0790 e_form_ev_per_atom=0.77 final_energy_ev_per_atom=-3.602 pbc="T T T"
Tl -1.809 -6.598 4.252
Tl -0.080 -0.290 0.187
Hg -3.608 -13.159 8.481
Re -5.537 -20.193 13.015

***

Entry 6:
4
Lattice="4.034 0.000 0.000 2.017 3.493 0.000 2.017 1.164 8.755" Properties=species:S:1:pos:R:3 comment="PrHo2Ir, relaxed, DFT GGA-PBE" spacegroup="R3m, No. 160" polymorph_energy_ev_per_atom=0.1500 e_form_ev_per_atom=-0.39 final_energy_ev_per_atom=-6.087 pbc="T T T"
Pr 4.034 2.329 4.323
Ho 2.017 1.164 1.462
Ho 2.017 1.164 7.329
Ir 4.034 2.329 0.018

***

Entry 7:
5
Lattice="4.272 0.000 0.000 0.000 4.272 0.000 0.000 0.000 6.841" Properties=species:S:1:pos:R:3 comment="KS2ClF, relaxed, DFT GGA-PBE" spacegroup="P4/mmm, No. 123" polymorph_energy_ev_per_atom=0.0000 final_energy_ev_per_atom=-2.793 pbc="T T T"
Cl 0.000 0.000 3.420
K 2.136 2.136 3.420
F 0.000 0.000 0.000
S 0.000 2.136 0.000
S 2.136 0.000 0.000

***

Entry 8:
18
Lattice="5.727 1.566 1.121 2.013 11.030 0.700 2.013 4.217 10.216" Properties=species:S:1:pos:R:3 comment="Pr3Ho4Tm2, relaxed, DFT GGA-PBE" spacegroup="C2/c, No. 15" polymorph_energy_ev_per_atom=0.0149 e_form_ev_per_atom=0.10 final_energy_ev_per_atom=-4.518 pbc="T T T"
Ho 8.174 13.249 7.636
Ho 2.261 9.492 1.489
Ho 4.628 11.563 2.971
Ho 4.442 6.099 2.516
Ho 5.125 5.251 9.067
Ho 7.492 7.321 10.549
Ho 5.310 10.715 9.522
Ho 1.579 3.564 4.402
Pr 7.648 13.132 10.980
Pr 4.784 13.843 8.333
Pr 2.105 3.681 1.058
Pr 4.969 2.971 3.705
Pr 3.445 8.746 4.718
Pr 6.308 8.067 7.320
Tm 2.943 8.607 8.068
Tm 5.807 11.194 6.109
Tm 3.946 5.620 5.929
Tm 6.810 8.207 3.970

***

Entry 9:
4
Lattice="-1.443 1.036 3.467 -2.552 -2.912 -0.192 2.540 -2.342 1.757" Properties=species:S:1:pos:R:3 comment="CrMo2Os, relaxed, DFT GGA-PBE" spacegroup="P4/mmm, No. 123" polymorph_energy_ev_per_atom=0.1053 e_form_ev_per_atom=0.22 final_energy_ev_per_atom=-10.407 pbc="T T T"
Mo 0.000 0.000 0.000
Mo -0.006 -2.627 0.783
Os -1.998 -0.938 1.638
Cr 0.548 -0.653 2.612

***

Entry 10:
3
Lattice="4.172 0.000 0.000 2.086 3.613 0.000 2.086 1.204 3.406" Properties=species:S:1:pos:R:3 comment="SiOsSe, relaxed, DFT GGA-PBE" spacegroup="F-43m, No. 216" polymorph_energy_ev_per_atom=0.5166 final_energy_ev_per_atom=-6.031 pbc="T T T"
Se 4.172 2.409 1.703
Os 0.000 0.000 0.000
Si 2.086 1.204 0.852

***

Entry 11:
19
Lattice="8.117 0.000 -2.870 -4.059 7.030 -2.870 0.000 0.000 8.610" Properties=species:S:1:pos:R:3 comment="Nd12Co6Au, relaxed, DFT GGA-PBE" spacegroup="Im-3, No. 204" e_form_ev_per_atom=-0.15 final_energy_ev_per_atom=-5.575 pbc="T T T"
Nd -1.260 4.894 5.103
Nd 0.333 2.136 2.851
Nd 3.726 4.894 0.019
Nd 0.810 5.674 2.233
Nd 5.318 2.136 -2.233
Nd 2.016 0.780 5.759
Nd 3.249 1.356 0.637
Nd 6.434 1.356 2.889
Nd 0.450 3.492 -0.637
Nd 2.043 6.250 -2.889
Nd -2.375 5.674 -0.019
Nd 3.608 3.538 3.507
Au 0.000 0.000 0.000
Co 2.940 3.515 -2.226
Co 3.603 0.789 3.514
Co 5.633 2.726 0.644
Co 0.455 6.241 -0.644
Co 1.119 3.515 5.096
Co -1.574 4.304 2.226

***

Entry 12:
4
Lattice="-1.808 0.745 -2.580 -2.670 -0.825 1.634 -0.681 7.362 2.603" Properties=species:S:1:pos:R:3 comment="ScMo2Br, relaxed, DFT GGA-PBE" spacegroup="P4mm, No. 99" polymorph_energy_ev_per_atom=0.0488 final_energy_ev_per_atom=-7.442 pbc="T T T"
Mo -2.409 1.793 0.175
Mo -0.057 0.617 0.218
Br -2.712 5.069 1.333
Sc -0.322 3.484 1.232

***

Entry 13:
5
Lattice="-0.800 3.889 -1.531 -2.698 0.710 3.214 3.147 1.552 2.299" Properties=species:S:1:pos:R:3 comment="ScInNF2, relaxed, DFT GGA-PBE" spacegroup="P4/mmm, No. 123" polymorph_energy_ev_per_atom=0.8019 final_energy_ev_per_atom=-5.294 pbc="T T T"
N 1.574 0.776 1.150
Sc -0.175 3.076 1.991
F -0.400 1.945 -0.766
F -1.349 0.355 1.607
In 0.000 0.000 0.000

***

Entry 14:
14
Lattice="5.879 0.000 1.208 0.000 5.545 0.000 -0.968 0.000 6.883" Properties=species:S:1:pos:R:3 comment="NaNdSiO4, relaxed, DFT GGA-PBE" spacegroup="P2_1/m, No. 11" polymorph_energy_ev_per_atom=0.0706 final_energy_ev_per_atom=-7.299 pbc="T T T"
O 1.975 1.386 6.188
O 1.873 4.159 4.339
O 4.365 0.088 5.697
O 0.545 5.457 2.394
O 4.365 2.685 5.697
O 3.038 1.386 3.752
O 0.545 2.860 2.394
O 2.936 4.159 1.903
Nd 0.579 1.386 4.271
Nd 4.332 4.159 3.820
Na 2.326 1.386 1.488
Na 2.585 4.159 6.603
Si 1.516 4.159 2.726
Si 3.395 1.386 5.365

***

Entry 15:
5
Lattice="4.918 0.000 0.000 0.000 4.436 0.000 0.000 0.000 4.918" Properties=species:S:1:pos:R:3 comment="TlSbCSe2, relaxed, DFT GGA-PBE" spacegroup="P4/mmm, No. 123" final_energy_ev_per_atom=-3.549 pbc="T T T"
Sb 2.459 2.218 2.459
C 0.000 0.000 0.000
Se 2.459 0.000 0.000
Se 0.000 0.000 2.459
Tl 0.000 2.218 0.000

***

Entry 16:
14
Lattice="-6.016 1.546 -3.522 4.465 -2.761 -4.988 -1.841 -6.267 5.684" Properties=species:S:1:pos:R:3 comment="Pr4ZnRh2, relaxed, DFT GGA-PBE" spacegroup="P1, No. 1" e_form_ev_per_atom=-0.46 final_energy_ev_per_atom=-5.477 pbc="T T T"
Rh -2.340 -3.725 -0.108
Rh -3.225 0.124 -2.782
Rh -1.921 -3.833 -4.707
Rh -0.305 -7.103 2.156
Zn -5.567 1.280 -3.574
Zn 1.512 -4.988 -1.982
Pr 1.669 -3.446 -5.031
Pr -1.051 -6.363 -0.593
Pr -5.714 -1.491 -2.388
Pr -5.053 -3.599 0.758
Pr -2.344 -5.184 2.698
Pr -3.727 -4.668 -2.540
Pr -2.700 -1.020 -5.303
Pr -0.694 -2.599 -2.382

***

Entry 17:
20
Lattice="-5.663 4.477 6.221 -7.423 -5.948 0.774 10.752 -3.612 3.463" Properties=species:S:1:pos:R:3 comment="Ac5La3Nd2, relaxed, DFT GGA-PBE" spacegroup="C2/c, No. 15" e_form_ev_per_atom=0.15 final_energy_ev_per_atom=-4.341 pbc="T T T"
Ac 5.100 -1.856 5.112
Ac -7.435 -3.227 5.345
Ac -4.897 -2.092 2.323
Ac 2.562 -2.990 8.134
Ac -0.847 -2.521 1.802
Ac 0.900 -1.273 5.385
Ac 0.027 -6.493 2.674
Ac -3.235 -3.809 5.071
Ac -2.362 1.411 7.783
Ac -1.488 -2.562 8.655
La 1.631 -8.150 5.326
La -4.901 -0.457 5.691
La -3.279 -5.396 1.625
La -3.966 3.067 5.131
La 2.566 -4.626 4.766
La 0.944 0.313 8.832
Nd -2.233 -0.093 4.144
Nd 3.722 0.562 7.469
Nd -6.057 -5.645 2.988
Nd -0.101 -4.989 6.313

***

Entry 18:
4
Lattice="0.000 3.581 3.581 3.581 0.000 3.581 3.581 3.581 0.000" Properties=species:S:1:pos:R:3 comment="VSn2Cl, relaxed, DFT GGA-PBE" spacegroup="Fm-3m, No. 225" polymorph_energy_ev_per_atom=0.1184 final_energy_ev_per_atom=-4.335 pbc="T T T"
Sn 1.791 1.791 1.791
Sn 5.372 5.372 5.372
V 3.581 3.581 3.581
Cl 0.000 0.000 0.000

***

Entry 19:
6
Lattice="-0.884 -3.105 2.114 -1.027 -1.890 -3.204 11.104 -3.985 -1.208" Properties=species:S:1:pos:R:3 comment="Sr2ErHg3, relaxed, DFT GGA-PBE" spacegroup="P4/mmm, No. 123" e_form_ev_per_atom=-0.50 final_energy_ev_per_atom=-1.975 pbc="T T T"
Hg 7.135 -2.561 -0.776
Hg 3.969 -1.424 -0.432
Hg 0.000 0.000 0.000
Er 4.596 -4.490 -1.149
Sr 8.199 -5.782 -1.541
Sr 0.994 -3.197 -0.757

***

Entry 20:
11
Lattice="2.398 -3.268 9.631 0.666 -8.972 0.396 6.991 -0.052 5.120" Properties=species:S:1:pos:R:3 comment="Se4I2Br5, relaxed, DFT GGA-PBE" spacegroup="P-1, No. 2" final_energy_ev_per_atom=-2.306 pbc="T T T"
Br 1.448 -1.589 1.386
Br 1.581 -5.010 2.951
Br 8.475 -7.282 12.196
Br 8.608 -10.703 13.761
Br 5.028 -6.146 7.574
Se 5.025 -8.525 6.281
Se 5.031 -3.767 8.866
Se 2.694 -9.204 6.582
Se 7.361 -3.088 8.565
I 4.280 -2.123 5.132
I 5.776 -10.169 10.015

***

Entry 21:
4
Lattice="4.371 -0.011 0.012 2.204 3.774 0.012 2.155 1.234 8.390" Properties=species:S:1:pos:R:3 comment="K2SeCl, relaxed, DFT GGA-PBE" spacegroup="C2/m, No. 12" polymorph_energy_ev_per_atom=0.0373 final_energy_ev_per_atom=-3.115 pbc="T T T"
K 4.360 2.496 4.403
K 2.160 1.236 8.194
Cl 6.548 3.748 6.310
Se 2.183 1.249 2.103

***

Entry 22:
16
Lattice="-2.266 7.648 2.179 -5.035 -4.641 -4.635 -2.631 -2.229 5.091" Properties=species:S:1:pos:R:3 comment="Er5Ir3, relaxed, DFT GGA-PBE" spacegroup="P6_3/mcm, No. 193" polymorph_energy_ev_per_atom=0.0363 e_form_ev_per_atom=-0.82 final_energy_ev_per_atom=-6.991 pbc="T T T"
Ir -3.358 3.004 5.150
Ir -4.810 -0.504 2.864
Ir -1.538 2.415 2.119
Ir -5.052 -4.510 0.985
Ir -5.121 1.281 -0.229
Ir -2.614 -2.361 -0.528
Er -4.112 -0.545 -2.364
Er -2.568 0.229 0.630
Er -2.566 0.329 4.388
Er -4.504 2.437 2.453
Er -3.290 -2.886 2.606
Er -7.364 0.548 2.005
Er -5.427 -1.660 0.182
Er -4.376 -3.985 -2.150
Er -3.189 3.552 -0.092
Er -2.331 5.090 2.882

***

Entry 23:
22
Lattice="-0.289 2.595 -2.494 -6.780 -2.348 -1.659 -6.539 10.573 11.758" Properties=species:S:1:pos:R:3 comment="Pu5Pd4Rh2, relaxed, DFT GGA-PBE" spacegroup="Pbam, No. 55" e_form_ev_per_atom=-0.44 final_energy_ev_per_atom=-10.179 pbc="T T T"
Pu -5.360 3.618 4.385
Pu -6.442 -1.287 -0.593
Pu -3.269 5.287 5.879
Pu -6.876 9.512 10.693
Pu -7.959 4.607 5.715
Pu -3.390 -1.174 -0.829
Pu -7.074 1.237 2.105
Pu -6.245 6.988 7.994
Pu -3.198 1.625 2.061
Pu -10.121 6.600 8.039
Rh -8.321 7.387 6.036
Rh -5.651 9.725 8.159
Rh -7.956 1.095 -0.553
Rh -5.286 3.432 1.570
Pd -8.552 9.355 8.110
Pd -2.106 1.500 -0.808
Pd -7.866 4.159 2.625
Pd -3.031 4.848 2.782
Pd -11.501 9.319 8.414
Pd -10.576 5.972 4.824
Pd -5.741 6.660 4.981
Pd -5.055 1.465 -0.504